1) TeBrCl3: relaxed, GGA-PBE. Values from VASP.

Geometry as Quantum ESPRESSO input:
```
&SYSTEM
  ibrav = 0, nat = 20, ntyp = 3
/
ATOMIC_SPECIES
Cl 35.45 Cl.upf
Te 127.60 Te.upf
Br 79.90 Br.upf
CELL_PARAMETERS angstrom
7.6176 0.0000 0.0000
0.0000 7.6176 0.0000
0.0000 0.0000 13.0476
ATOMIC_POSITIONS angstrom
Cl 2.4927 3.7398 11.4125
Cl 0.8404 2.8907 8.4137
Cl 6.2370 0.0426 4.5157
Cl 3.8778 2.4927 1.6268
Cl 2.8907 6.7773 5.1518
Cl 3.7398 5.1249 8.1506
Cl 5.1249 3.8778 4.8887
Cl 7.5750 6.2370 7.7776
Cl 4.7269 0.8404 11.6756
Cl 0.0426 1.3806 1.2538
Cl 1.3806 7.5750 11.0395
Cl 6.7773 4.7269 1.8899
Te 4.8911 6.5335 6.3611
Te 1.0841 4.8911 9.6230
Te 6.5335 2.7265 3.0992
Te 2.7265 1.0841 12.8849
Br 2.9940 6.5816 1.1500
Br 6.5816 4.6237 10.9357
Br 4.6236 1.0360 7.6738
Br 1.0360 2.9940 4.4119
```

**SG**: No. 76
**D(E_F)**: 0.00 states/eV per cell
**Calculated volume**: 37.86 A^3/atom

---

2) TeBrCl3: relaxed, GGA-PBE. Values from VASP.

Geometry as Quantum ESPRESSO input:
```
&SYSTEM
  ibrav = 0, nat = 5, ntyp = 3
/
ATOMIC_SPECIES
Te 127.60 Te.upf
Cl 35.45 Cl.upf
Br 79.90 Br.upf
CELL_PARAMETERS angstrom
5.2798 0.0000 0.0000
0.0000 5.2798 0.0000
0.0000 0.0000 5.2798
ATOMIC_POSITIONS angstrom
Te 0.0000 0.0000 0.0000
Cl 0.0000 0.0000 2.6399
Cl 2.6399 0.0000 0.0000
Cl 0.0000 2.6399 0.0000
Br 2.6399 2.6399 2.6399
```

**SG**: No. 221
**D(E_F)**: 8.29 states/eV per cell
**Calculated volume**: 29.44 A^3/atom

---

Most stable pick: 1). Distance to second place: 0.445 eV/atom.

---

1) TiBr3Cl: relaxed, GGA-PBE. Values from VASP.

Geometry as Quantum ESPRESSO input:
```
&SYSTEM
  ibrav = 0, nat = 5, ntyp = 3
/
ATOMIC_SPECIES
Br 79.90 Br.upf
Ti 47.87 Ti.upf
Cl 35.45 Cl.upf
CELL_PARAMETERS angstrom
5.3500 0.0000 0.0000
0.0000 5.3500 0.0000
0.0000 0.0000 5.3500
ATOMIC_POSITIONS angstrom
Br 2.6750 0.0000 0.0000
Br 0.0000 2.6750 0.0000
Br 0.0000 0.0000 2.6750
Ti 2.6750 2.6750 2.6750
Cl 0.0000 0.0000 0.0000
```

**SG**: No. 221
**D(E_F)**: 28.98 states/eV per cell
**Calculated volume**: 30.63 A^3/atom

---

2) TiBr3Cl: relaxed, GGA-PBE. Values from VASP.

Geometry as Quantum ESPRESSO input:
```
&SYSTEM
  ibrav = 0, nat = 5, ntyp = 3
/
ATOMIC_SPECIES
Ti 47.87 Ti.upf
Br 79.90 Br.upf
Cl 35.45 Cl.upf
CELL_PARAMETERS angstrom
-1.8069 4.6009 1.1551
-0.2149 -1.3142 4.8984
4.7388 1.6947 0.6626
ATOMIC_POSITIONS angstrom
Ti 0.0000 0.0000 0.0000
Br -0.1075 -0.6571 2.4492
Br 2.3694 0.8473 0.3313
Br -0.9034 2.3005 0.5775
Cl 1.3585 2.4907 3.3580
```

**SG**: No. 221
**D(E_F)**: 5.17 states/eV per cell
**Calculated volume**: 26.16 A^3/atom

---

Most stable pick: 2). Distance to second place: 1.351 eV/atom.

---

1) Ti2BrCl: relaxed, GGA-PBE. Values from VASP.

Geometry as Quantum ESPRESSO input:
```
&SYSTEM
  ibrav = 0, nat = 8, ntyp = 3
/
ATOMIC_SPECIES
Ti 47.87 Ti.upf
Cl 35.45 Cl.upf
Br 79.90 Br.upf
CELL_PARAMETERS angstrom
-2.3374 -1.1172 3.6118
-0.0987 -4.2269 -1.3714
5.6597 -4.1303 5.1202
ATOMIC_POSITIONS angstrom
Ti 2.1152 -7.6873 5.8286
Ti 1.0132 -3.8369 0.9484
Ti 3.3292 -5.1883 4.6522
Ti -0.0105 -2.2363 3.2921
Cl 2.1715 -5.5146 2.4345
Cl -1.2181 -2.6721 1.1202
Br 1.0521 -3.9598 4.9261
Br 0.0000 0.0000 0.0000
```

**SG**: No. 122
**D(E_F)**: 5.74 states/eV per cell
**Calculated volume**: 19.98 A^3/atom

---

2) Ti2BrCl: relaxed, GGA-PBE. Values from VASP.

Geometry as Quantum ESPRESSO input:
```
&SYSTEM
  ibrav = 0, nat = 4, ntyp = 3
/
ATOMIC_SPECIES
Ti 47.87 Ti.upf
Cl 35.45 Cl.upf
Br 79.90 Br.upf
CELL_PARAMETERS angstrom
-2.7676 -1.2745 3.3481
-4.4409 0.8279 -0.2952
-2.9017 -3.4156 -0.6383
ATOMIC_POSITIONS angstrom
Ti -2.5276 -0.9656 0.6037
Ti -7.5827 -2.8967 1.8110
Cl 0.0000 0.0000 0.0000
Br -5.0551 -1.9311 1.2073
```

**SG**: No. 225
**D(E_F)**: 4.36 states/eV per cell
**Calculated volume**: 16.40 A^3/atom

---

Most stable pick: 1). Distance to second place: 0.158 eV/atom.

---

1) TlBr4Cl: relaxed, GGA-PBE. Values from VASP.

Geometry as Quantum ESPRESSO input:
```
&SYSTEM
  ibrav = 0, nat = 12, ntyp = 3
/
ATOMIC_SPECIES
Br 79.90 Br.upf
Tl 204.38 Tl.upf
Cl 35.45 Cl.upf
CELL_PARAMETERS angstrom
7.1576 -1.0441 0.0000
-2.4058 7.6439 0.0000
-2.3759 -3.2999 9.0900
ATOMIC_POSITIONS angstrom
Br 3.3014 1.1770 0.8723
Br -0.7161 1.5092 3.2460
Br 0.4867 -2.3128 5.8440
Br -0.9255 2.1230 8.2177
Br -2.1284 5.9449 0.8723
Br 3.0921 1.7908 5.8440
Br 1.8892 5.6127 3.2460
Br 4.5043 -2.6450 8.2177
Tl -2.9923 4.0830 8.1550
Tl 5.3682 -0.7830 0.9350
Cl 1.7894 -0.2610 6.0780
Cl 0.5865 3.5610 3.0119
```

**SG**: No. 15
**Calculated volume**: 39.54 A^3/atom

---

2) TlBr4Cl: relaxed, GGA-PBE. Values from VASP.

Geometry as Quantum ESPRESSO input:
```
&SYSTEM
  ibrav = 0, nat = 6, ntyp = 3
/
ATOMIC_SPECIES
Br 79.90 Br.upf
Cl 35.45 Cl.upf
Tl 204.38 Tl.upf
CELL_PARAMETERS angstrom
-3.4535 -3.5948 3.8022
-0.0917 1.1408 6.1641
-5.1662 2.3309 2.6801
ATOMIC_POSITIONS angstrom
Br -3.3166 0.5220 7.8187
Br -3.2710 -0.0462 4.7485
Br -5.8441 1.1148 6.0834
Br -4.9911 -1.8367 6.6423
Cl -6.5336 -0.0923 9.4848
Tl 0.0000 0.0000 0.0000
```

**SG**: No. 216
**D(E_F)**: 9.96 states/eV per cell
**Calculated volume**: 29.04 A^3/atom

---

Most stable pick: 1). Distance to second place: 0.435 eV/atom.

---

1) Tl2BrCl2: relaxed, GGA-PBE. Values from VASP.

Geometry as Quantum ESPRESSO input:
```
&SYSTEM
  ibrav = 0, nat = 10, ntyp = 3
/
ATOMIC_SPECIES
Cl 35.45 Cl.upf
Tl 204.38 Tl.upf
Br 79.90 Br.upf
CELL_PARAMETERS angstrom
8.4309 0.0000 0.0000
0.0000 8.4309 0.0000
0.0000 0.0000 4.1773
ATOMIC_POSITIONS angstrom
Cl 7.2459 3.0305 2.0886
Cl 3.0305 1.1850 2.0886
Cl 1.1850 5.4004 2.0886
Cl 5.4004 7.2459 2.0886
Tl 6.9375 5.7087 0.0000
Tl 1.4933 2.7221 0.0000
Tl 2.7221 6.9375 0.0000
Tl 5.7087 1.4933 0.0000
Br 0.0000 0.0000 0.0000
Br 4.2154 4.2154 0.0000
```

**SG**: No. 127
**D(E_F)**: 11.95 states/eV per cell
**Calculated volume**: 29.69 A^3/atom

---

2) Tl2BrCl2: relaxed, GGA-PBE. Values from VASP.

Geometry as Quantum ESPRESSO input:
```
&SYSTEM
  ibrav = 0, nat = 5, ntyp = 3
/
ATOMIC_SPECIES
Tl 204.38 Tl.upf
Br 79.90 Br.upf
Cl 35.45 Cl.upf
CELL_PARAMETERS angstrom
-2.9938 2.7057 2.5068
2.4210 -0.9943 3.9645
3.8255 6.4352 2.1240
ATOMIC_POSITIONS angstrom
Tl 0.7405 2.2492 2.9580
Tl 2.5122 5.8975 5.6373
Br 0.0000 0.0000 0.0000
Cl 2.9800 3.1483 4.6621
Cl 0.2726 4.9983 3.9332
```

**SG**: No. 139
**D(E_F)**: 6.12 states/eV per cell
**Calculated volume**: 31.68 A^3/atom

---

Most stable pick: 1). Distance to second place: 0.074 eV/atom.

---

1) Tl2BrCl: relaxed, GGA-PBE. Values from VASP.

Geometry as Quantum ESPRESSO input:
```
&SYSTEM
  ibrav = 0, nat = 4, ntyp = 3
/
ATOMIC_SPECIES
Tl 204.38 Tl.upf
Br 79.90 Br.upf
Cl 35.45 Cl.upf
CELL_PARAMETERS angstrom
3.9615 0.0000 0.0000
0.0000 3.9648 0.0494
0.0000 3.7516 7.9614
ATOMIC_POSITIONS angstrom
Tl 0.0000 3.9390 4.0767
Tl 0.0000 7.6357 7.9396
Br 1.9807 1.9291 2.0027
Cl 1.9807 5.7873 6.0081
```

**SG**: No. 10
**D(E_F)**: 0.00 states/eV per cell
**Calculated volume**: 31.08 A^3/atom

---

2) Tl2BrCl: relaxed, GGA-PBE. Values from VASP.

Geometry as Quantum ESPRESSO input:
```
&SYSTEM
  ibrav = 0, nat = 4, ntyp = 3
/
ATOMIC_SPECIES
Tl 204.38 Tl.upf
Br 79.90 Br.upf
Cl 35.45 Cl.upf
CELL_PARAMETERS angstrom
-3.5214 2.9501 0.9579
-2.7699 -0.7500 3.7129
2.6115 4.9109 5.8833
ATOMIC_POSITIONS angstrom
Tl -6.2370 2.2459 4.7176
Tl -1.8944 3.5096 5.2303
Br -2.7599 5.3332 7.9156
Cl -0.9200 1.7777 2.6385
```

**SG**: No. 12
**D(E_F)**: 0.00 states/eV per cell
**Calculated volume**: 36.32 A^3/atom

---

Most stable pick: 2). Distance to second place: 0.047 eV/atom.

---

1) Tl5BrCl4: relaxed, GGA-PBE. Values from VASP.

Geometry as Quantum ESPRESSO input:
```
&SYSTEM
  ibrav = 0, nat = 10, ntyp = 3
/
ATOMIC_SPECIES
Tl 204.38 Tl.upf
Cl 35.45 Cl.upf
Br 79.90 Br.upf
CELL_PARAMETERS angstrom
4.6309 0.0000 0.0000
2.3154 4.0105 0.0000
2.3154 1.3368 18.9172
ATOMIC_POSITIONS angstrom
Tl 2.3154 1.3368 7.4367
Tl 6.9464 4.0105 11.4806
Tl 0.0000 0.0000 0.0000
Tl 4.6309 2.6737 15.1945
Tl 4.6309 2.6736 3.7227
Cl 6.9463 4.0105 17.0563
Cl 2.3154 1.3368 1.8609
Cl 6.9464 4.0105 5.5821
Cl 2.3154 1.3368 13.3351
Br 4.6309 2.6737 9.4586
```

**SG**: No. 166
**D(E_F)**: 0.00 states/eV per cell
**Calculated volume**: 35.13 A^3/atom

---

2) Tl5BrCl4: relaxed, GGA-PBE. Values from VASP.

Geometry as Quantum ESPRESSO input:
```
&SYSTEM
  ibrav = 0, nat = 10, ntyp = 3
/
ATOMIC_SPECIES
Br 79.90 Br.upf
Cl 35.45 Cl.upf
Tl 204.38 Tl.upf
CELL_PARAMETERS angstrom
14.0963 0.0081 0.0000
-13.0061 5.4359 0.0000
0.0000 0.0000 3.9210
ATOMIC_POSITIONS angstrom
Br 0.5451 2.7220 1.9605
Cl -4.9078 3.8141 1.9605
Cl 11.3382 0.5605 1.9605
Cl -10.2479 4.8835 1.9605
Cl 5.9981 1.6300 1.9605
Tl 8.6711 1.0947 0.0000
Tl -2.2649 3.2848 0.0000
Tl 3.3552 2.1593 0.0000
Tl -7.5808 4.3494 0.0000
Tl 0.0000 0.0000 0.0000
```

**SG**: No. 65
**D(E_F)**: 0.00 states/eV per cell
**Calculated volume**: 30.09 A^3/atom

---

Most stable pick: 1). Distance to second place: 0.048 eV/atom.

---

1) Tl4BrCl3: relaxed, GGA-PBE. Values from VASP.

Geometry as Quantum ESPRESSO input:
```
&SYSTEM
  ibrav = 0, nat = 8, ntyp = 3
/
ATOMIC_SPECIES
Tl 204.38 Tl.upf
Br 79.90 Br.upf
Cl 35.45 Cl.upf
CELL_PARAMETERS angstrom
-1.3616 -2.4938 -2.7123
3.8139 -3.7446 1.5283
-7.0848 -4.1915 7.4105
ATOMIC_POSITIONS angstrom
Tl 0.0806 -2.9528 2.6745
Tl 0.0000 0.0000 0.0000
Tl -3.5424 -2.0958 3.7053
Tl -3.3514 -4.9833 6.2643
Br 1.2262 -3.1192 -0.5920
Cl -2.4777 -2.3100 0.5233
Cl -2.3162 -5.2150 3.1133
Cl -5.9687 -4.3754 4.1749
```

**SG**: No. 47
**D(E_F)**: 0.00 states/eV per cell
**Calculated volume**: 30.23 A^3/atom

---

2) Tl4BrCl3: relaxed, GGA-PBE. Values from VASP.

Geometry as Quantum ESPRESSO input:
```
&SYSTEM
  ibrav = 0, nat = 16, ntyp = 3
/
ATOMIC_SPECIES
Br 79.90 Br.upf
Tl 204.38 Tl.upf
Cl 35.45 Cl.upf
CELL_PARAMETERS angstrom
6.5430 0.0000 0.0000
0.0000 9.4308 0.0000
0.0000 0.0000 11.1622
ATOMIC_POSITIONS angstrom
Br 3.6936 7.8618 5.5811
Br 0.4221 1.5690 0.0000
Tl 0.4166 7.7378 0.0000
Tl 3.6939 6.2668 8.4496
Tl 0.4224 3.1640 8.2937
Tl 3.6939 6.2668 2.7126
Tl 0.4224 3.1640 2.8685
Tl 0.4224 7.8512 5.5811
Tl 3.6940 1.5796 0.0000
Tl 3.6881 1.6930 5.5811
Cl 0.4270 6.2974 8.3517
Cl 0.4270 6.2974 2.8105
Cl 3.6985 3.1334 2.7706
Cl 0.4115 1.5780 5.5811
Cl 3.6830 7.8528 0.0000
Cl 3.6985 3.1334 8.3916
```

**SG**: No. 31
**D(E_F)**: 0.00 states/eV per cell
**Calculated volume**: 43.05 A^3/atom

---

3) Tl4BrCl3: relaxed, GGA-PBE. Values from VASP.

Geometry as Quantum ESPRESSO input:
```
&SYSTEM
  ibrav = 0, nat = 16, ntyp = 3
/
ATOMIC_SPECIES
Cl 35.45 Cl.upf
Tl 204.38 Tl.upf
Br 79.90 Br.upf
CELL_PARAMETERS angstrom
8.0423 0.0726 0.0000
-2.7502 7.5571 0.0000
0.0000 0.0000 9.2914
ATOMIC_POSITIONS angstrom
Cl 6.0318 0.0545 3.4852
Cl 4.6567 3.8330 5.7952
Cl 0.6355 3.7967 8.1125
Cl 2.0106 0.0182 5.8061
Cl 0.6355 3.7967 3.4962
Cl 4.6567 3.8330 1.1788
Tl -0.6485 1.8998 5.7643
Tl 5.9407 5.7300 3.5271
Tl 1.9914 5.6341 1.2051
Tl 1.9196 5.6937 5.7643
Tl 3.3726 1.9361 3.5271
Tl 3.3008 1.9956 8.0863
Tl -2.0297 5.5978 8.0863
Tl 7.3219 2.0320 1.2051
Br 2.0106 0.0182 1.1643
Br 6.0318 0.0545 8.1271
```

**SG**: No. 13
**D(E_F)**: 0.00 states/eV per cell
**Calculated volume**: 35.41 A^3/atom

---

Most stable pick: 3). Distance to second place: 0.030 eV/atom.

---

1) Tl3Br2Cl: relaxed, GGA-PBE. Values from VASP.

Geometry as Quantum ESPRESSO input:
```
&SYSTEM
  ibrav = 0, nat = 6, ntyp = 3
/
ATOMIC_SPECIES
Tl 204.38 Tl.upf
Br 79.90 Br.upf
Cl 35.45 Cl.upf
CELL_PARAMETERS angstrom
4.8161 -0.0002 -1.0970
-0.2496 4.8096 -1.0981
-0.1759 -0.1851 10.3423
ATOMIC_POSITIONS angstrom
Tl 4.1101 4.3411 6.9859
Tl 1.1450 1.2097 5.0779
Tl 2.6912 2.8382 0.7478
Br 3.4071 3.5950 3.8922
Br 0.4274 0.4565 1.9338
Cl 1.8271 1.9362 8.0839
```

**SG**: No. 42
**D(E_F)**: 0.00 states/eV per cell
**Calculated volume**: 39.60 A^3/atom

---

2) Tl3Br2Cl: relaxed, GGA-PBE. Values from VASP.

Geometry as Quantum ESPRESSO input:
```
&SYSTEM
  ibrav = 0, nat = 12, ntyp = 3
/
ATOMIC_SPECIES
Br 79.90 Br.upf
Tl 204.38 Tl.upf
Cl 35.45 Cl.upf
CELL_PARAMETERS angstrom
6.6781 0.0000 0.0000
0.0000 9.4127 0.0024
-3.3391 -2.3549 7.0704
ATOMIC_POSITIONS angstrom
Br 3.3337 -0.0001 2.3856
Br 3.3444 4.7063 2.3868
Br 0.0053 7.0578 4.6873
Br -0.0053 2.3515 4.6860
Tl 3.3283 7.0595 0.0018
Tl 0.0038 4.7044 2.2569
Tl 3.3428 7.0597 4.8172
Tl -0.0038 -0.0019 2.2556
Tl 3.3498 2.3532 0.0006
Tl 3.3353 2.3533 4.8160
Cl 0.0190 2.3532 0.0006
Cl 6.6591 7.0595 0.0018
```

**SG**: No. 15
**D(E_F)**: 0.00 states/eV per cell
**Calculated volume**: 37.04 A^3/atom

---

Most stable pick: 2). Distance to second place: 0.024 eV/atom.

---

1) TlVBrCl2: relaxed, GGA-PBE. Values from VASP.

Geometry as Quantum ESPRESSO input:
```
&SYSTEM
  ibrav = 0, nat = 10, ntyp = 4
/
ATOMIC_SPECIES
Tl 204.38 Tl.upf
Cl 35.45 Cl.upf
V 50.94 V.upf
Br 79.90 Br.upf
CELL_PARAMETERS angstrom
-4.2023 0.3937 -5.4450
5.2539 -1.5747 -4.1687
-1.6904 -4.6681 5.3254
ATOMIC_POSITIONS angstrom
Tl -2.6838 -2.4339 -2.4630
Tl 2.0443 -3.4181 -1.8249
Cl -1.4411 -5.4414 -1.9577
Cl -0.8881 -5.0755 2.9948
Cl -3.5886 -4.6990 0.7479
Cl 1.2594 -5.8180 0.2892
V -0.0003 -0.0015 0.0002
V 0.5255 -0.5920 -4.8067
Br -0.5822 -2.6287 0.2592
Br -0.0564 -3.2192 -4.5476
```

**SG**: No. 140
**D(E_F)**: 1.59 states/eV per cell
**Calculated volume**: 25.68 A^3/atom

---

2) TlVBrCl2: relaxed, GGA-PBE. Values from VASP.

Geometry as Quantum ESPRESSO input:
```
&SYSTEM
  ibrav = 0, nat = 5, ntyp = 4
/
ATOMIC_SPECIES
Cl 35.45 Cl.upf
V 50.94 V.upf
Br 79.90 Br.upf
Tl 204.38 Tl.upf
CELL_PARAMETERS angstrom
4.9745 0.0000 0.0000
0.0000 4.9745 0.0000
0.0000 0.0000 5.3186
ATOMIC_POSITIONS angstrom
Cl 2.4872 0.0000 0.0000
Cl 0.0000 2.4872 0.0000
V 0.0000 0.0000 0.0000
Br 0.0000 0.0000 2.6593
Tl 2.4872 2.4872 2.6593
```

**SG**: No. 123
**D(E_F)**: 0.67 states/eV per cell
**Calculated volume**: 26.32 A^3/atom

---

Most stable pick: 1). Distance to second place: 0.019 eV/atom.

---

1) TmBr2Cl: relaxed, GGA-PBE. Values from VASP.

Geometry as Quantum ESPRESSO input:
```
&SYSTEM
  ibrav = 0, nat = 4, ntyp = 3
/
ATOMIC_SPECIES
Tm 168.93 Tm.upf
Br 79.90 Br.upf
Cl 35.45 Cl.upf
CELL_PARAMETERS angstrom
2.0208 -7.7771 0.0000
2.0208 7.7771 0.0000
0.0000 0.0000 5.2144
ATOMIC_POSITIONS angstrom
Tm 4.0390 0.0000 0.0000
Br 2.0185 1.9106 0.0000
Br 2.0185 -1.9106 0.0000
Cl 4.0387 0.0000 2.6072
```

**SG**: No. 65
**D(E_F)**: 0.00 states/eV per cell
**Calculated volume**: 40.97 A^3/atom

---

2) TmBr2Cl: relaxed, GGA-PBE. Values from VASP.

Geometry as Quantum ESPRESSO input:
```
&SYSTEM
  ibrav = 0, nat = 4, ntyp = 3
/
ATOMIC_SPECIES
Tm 168.93 Tm.upf
Br 79.90 Br.upf
Cl 35.45 Cl.upf
CELL_PARAMETERS angstrom
-0.8894 0.6789 3.4653
-1.0703 -6.3921 2.8940
5.1958 -2.9535 3.8291
ATOMIC_POSITIONS angstrom
Tm 1.5889 -6.9600 7.5163
Br 2.1909 -5.2233 5.4170
Br 3.7532 -8.3457 6.4303
Cl 1.4468 -1.8167 2.6422
```

**SG**: No. 44
**D(E_F)**: 0.00 states/eV per cell
**Calculated volume**: 38.30 A^3/atom

---

Most stable pick: 1). Distance to second place: 0.038 eV/atom.